[1]
DFT (GGA-PBE) results for a relaxed LiAl2Cr crystal.

Cell and atoms, written as extended XYZ:
```
4
Lattice="3.677 0.000 0.000 0.000 2.729 0.003 0.000 2.717 5.704" Properties=species:S:1:pos:R:3 pbc="T T T"
Al 0.000 2.729 0.075
Al 0.000 2.723 2.782
Cr 1.839 1.361 1.427
Li 1.839 4.084 4.280
```

Computed properties:
The value obtained for the formation energy is -0.04 eV/atom.

---

[2]
DFT (GGA-PBE) results for a relaxed LiAl4Cr crystal.

Cell and atoms, written as extended XYZ:
```
6
Lattice="0.000 3.690 3.690 3.690 0.000 3.690 3.690 3.690 0.000" Properties=species:S:1:pos:R:3 pbc="T T T"
Cr 1.845 1.845 1.845
Al 4.611 4.611 4.611
Al 4.611 2.770 2.770
Al 2.770 4.611 2.770
Al 2.770 2.770 4.611
Li 0.000 0.000 0.000
```

Computed properties:
The energy above the most stable polymorph in this dataset is 150.6 meV per atom. The value obtained for the formation energy is 0.11 eV/atom.

---

[3]
DFT (GGA-PBE) results for a relaxed Li2AlCr crystal.

Cell and atoms, written as extended XYZ:
```
4
Lattice="2.993 0.000 0.000 0.000 4.449 0.000 0.000 0.000 4.697" Properties=species:S:1:pos:R:3 pbc="T T T"
Cr 0.000 2.225 2.349
Li 0.000 0.000 0.000
Li 1.497 2.225 0.000
Al 1.497 0.000 2.349
```

Computed properties:
The value obtained for the formation energy is 0.14 eV/atom.